! Cr2CdMo | the Alexandria database | PBE | optimized geometry; values from VASP
&SYSTEM
  ibrav = 0, nat = 4, ntyp = 3
/
ATOMIC_SPECIES
Cr 52.00 Cr.upf
Cd 112.41 Cd.upf
Mo 95.94 Mo.upf
CELL_PARAMETERS angstrom
-1.462 -2.290 -4.208
3.460 0.065 -3.621
-0.822 -1.509 4.705
ATOMIC_POSITIONS crystal
Cr 0.980 0.980 0.000
Cd 0.250 0.750 0.500
Mo 0.750 0.250 0.500
Cr 0.520 0.520 0.000
! total moment	0.00	μB per atom
! density	8.68	g/cm³
! ΔH_f (0 K)	567	meV/atom